DFT (PBE-GGA) results for crystalline ScAs2PSe at its relaxed geometry.

Lattice parameters (Å, degrees): 5.1374 5.1374 4.9572 90.00 90.00 90.00
Closest atoms and distances in Å follow each position.
Fractional positions:
Sc: 0.0000 0.0000 0.0000  2 Se 2.48, 4 As 2.57
As: 0.0000 0.5000 0.0000  2 Sc 2.57
As: 0.5000 0.0000 0.0000  2 Sc 2.57
P: 0.5000 0.5000 0.5000  8 As 3.57, 4 Se 3.63
Se: 0.0000 0.0000 0.5000  2 Sc 2.48

Calculated values
- formation energy (no corrections) (meV per atom) = 556
- excess energy over the best structure of this formula in the dataset (eV per formula unit) = 2.14
- SG = No. 123

DFT (PBE-GGA) results for crystalline Sc6As2P3Se at its relaxed geometry.

Lattice parameters (Å, degrees): 8.5290 8.5290 7.6480 103.07 103.07 25.81
Closest atoms and distances in Å follow each position.
Fractional positions:
Sc: 0.0019 0.0019 0.2375  3 P 2.63-2.65, 1 As 2.72, 2 Se 2.77
Sc: 0.3291 0.3291 0.4207  3 P 2.64-2.66, 2 As 2.73, 1 Se 2.76
Sc: 0.3350 0.3350 0.9121  3 P 2.67, 3 As 2.73
Sc: 0.6650 0.6650 0.0879  3 P 2.67, 3 As 2.73
Sc: 0.6709 0.6709 0.5793  3 P 2.64-2.66, 2 As 2.73, 1 Se 2.76
Sc: 0.9981 0.9981 0.7625  3 P 2.63-2.65, 1 As 2.72, 2 Se 2.77
As: 0.1662 0.1662 0.8320  6 Sc 2.72-2.73
As: 0.8338 0.8338 0.1680  6 Sc 2.72-2.73
P: 0.1656 0.1656 0.3334  6 Sc 2.64-2.67
P: 0.5000 0.5000 0.0000  6 Sc 2.63-2.67
P: 0.8344 0.8344 0.6666  6 Sc 2.64-2.67
Se: 0.5000 0.5000 0.5000  6 Sc 2.76-2.77

Calculated values
- formation energy (no corrections) (meV per atom) = -1516
- SG = No. 12

DFT (PBE-GGA) results for crystalline ScAs2PSe at its relaxed geometry.

Lattice parameters (Å, degrees): 4.6942 4.6942 4.9138 90.00 90.00 90.00
Closest atoms and distances in Å follow each position.
Fractional positions:
Sc: 0.0000 0.0000 0.0000  4 Se 3.32, 8 As 3.40
As: 0.0000 0.5000 0.5000  2 P 2.35
As: 0.5000 0.0000 0.5000  2 P 2.35
P: 0.5000 0.5000 0.5000  4 As 2.35, 2 Se 2.46
Se: 0.5000 0.5000 0.0000  2 P 2.46

Calculated values
- formation energy (no corrections) (meV per atom) = 128
- excess energy over the best structure of this formula in the dataset (eV per formula unit) = 0.00
- SG = No. 123

DFT (PBE-GGA) results for crystalline TbScAsP at its relaxed geometry.

Lattice parameters (Å, degrees): 3.9215 3.9215 19.9960 90.00 90.00 120.00
Closest atoms and distances in Å follow each position.
Fractional positions:
Tb: 0.0000 0.0000 0.0000  3 P 2.83, 3 As 2.95
Tb: 0.3333 0.6667 0.6667  3 P 2.83, 3 As 2.95
Tb: 0.6667 0.3333 0.3333  3 P 2.83, 3 As 2.95
Sc: 0.0000 0.0000 0.1762  3 P 2.69, 3 As 2.79
Sc: 0.3333 0.6667 0.8429  3 P 2.69, 3 As 2.79
Sc: 0.6667 0.3333 0.5095  3 P 2.69, 3 As 2.79
As: 0.0000 0.0000 0.7614  3 Sc 2.79, 3 Tb 2.95
As: 0.3333 0.6667 0.4281  3 Sc 2.79, 3 Tb 2.95
As: 0.6667 0.3333 0.0948  3 Sc 2.79, 3 Tb 2.95
P: 0.0000 0.0000 0.5817  3 Sc 2.69, 3 Tb 2.83
P: 0.3333 0.6667 0.2484  3 Sc 2.69, 3 Tb 2.83
P: 0.6667 0.3333 0.9151  3 Sc 2.69, 3 Tb 2.83

Calculated values
- E_form (eV/f.u.) = -5.45
- SG = No. 160

DFT (PBE-GGA) results for crystalline Sc6Te3As2P at its relaxed geometry.

Lattice parameters (Å, degrees): 9.0203 9.0203 8.0905 104.73 104.73 25.34
Closest atoms and distances in Å follow each position.
Fractional positions:
Sc: 0.0061 0.0061 0.2198  2 P 2.64, 1 As 2.73
Sc: 0.3266 0.3266 0.4380  3 As 2.70-2.72, 3 Te 2.96-2.97
Sc: 0.3470 0.3470 0.9040  1 P 2.60, 2 As 2.71
Sc: 0.6530 0.6530 0.0960  1 P 2.60, 2 As 2.71
Sc: 0.6734 0.6734 0.5620  3 As 2.70-2.72, 3 Te 2.96-2.97
Sc: 0.9939 0.9939 0.7802  2 P 2.64, 1 As 2.73
Te: 0.1684 0.1684 0.8331  6 Sc 2.97-3.04
Te: 0.5000 0.5000 0.5000  6 Sc 2.96-3.03
Te: 0.8316 0.8316 0.1669  6 Sc 2.97-3.04
As: 0.1665 0.1665 0.3314  6 Sc 2.70-2.73
As: 0.8335 0.8335 0.6686  6 Sc 2.70-2.73
P: 0.5000 0.5000 0.0000  6 Sc 2.60-2.64

Calculated values
- formation energy (no corrections) (meV per atom) = -1341
- SG = No. 12

DFT (PBE-GGA) results for crystalline Sc6TeAs2P3 at its relaxed geometry.

Lattice parameters (Å, degrees): 8.6382 8.6382 7.7673 103.25 103.25 25.75
Closest atoms and distances in Å follow each position.
Fractional positions:
Sc: 0.0014 0.0014 0.2244  3 P 2.59-2.68, 1 As 2.76, 2 Te 2.88
Sc: 0.3234 0.3234 0.4165  3 P 2.60-2.71, 2 As 2.76, 1 Te 2.89
Sc: 0.3339 0.3339 0.9120  3 P 2.71-2.72, 3 As 2.74-2.76
Sc: 0.6661 0.6661 0.0880  3 P 2.71-2.72, 3 As 2.74-2.76
Sc: 0.6766 0.6766 0.5835  3 P 2.60-2.71, 2 As 2.76, 1 Te 2.89
Sc: 0.9986 0.9986 0.7756  3 P 2.59-2.68, 1 As 2.76, 2 Te 2.88
Te: 0.5000 0.5000 0.5000  6 Sc 2.88-2.89
As: 0.1668 0.1668 0.8331  6 Sc 2.74-2.76
As: 0.8332 0.8332 0.1669  6 Sc 2.74-2.76
P: 0.1644 0.1644 0.3326  6 Sc 2.60-2.71
P: 0.5000 0.5000 0.0000  6 Sc 2.59-2.72
P: 0.8356 0.8356 0.6674  6 Sc 2.60-2.71

Calculated values
- formation energy (no corrections) (meV per atom) = -1414
- SG = No. 12

DFT (PBE-GGA) results for crystalline Sc8Te3AsP3 at its relaxed geometry.

Lattice parameters (Å, degrees): 7.9726 7.9726 7.9726 58.06 58.06 58.06
Closest atoms and distances in Å follow each position.
Fractional positions:
Sc: 0.2280 0.7430 0.7430  2 P 2.62, 1 As 2.70
Sc: 0.2342 0.2342 0.2342  3 P 2.60
Sc: 0.2570 0.2570 0.7720  2 P 2.62, 1 As 2.70
Sc: 0.2570 0.7720 0.2570  2 P 2.62, 1 As 2.70
Sc: 0.7430 0.2280 0.7430  2 P 2.62, 1 As 2.70
Sc: 0.7430 0.7430 0.2280  2 P 2.62, 1 As 2.70
Sc: 0.7658 0.7658 0.7658  3 P 2.60
Sc: 0.7720 0.2570 0.2570  2 P 2.62, 1 As 2.70
Te: 0.0000 0.5000 0.5000  6 Sc 2.95-2.97
Te: 0.5000 0.0000 0.5000  6 Sc 2.95-2.97
Te: 0.5000 0.5000 0.0000  6 Sc 2.95-2.97
As: 0.5000 0.5000 0.5000  6 Sc 2.70
P: 0.0000 0.0000 0.5000  6 Sc 2.60-2.62
P: 0.0000 0.5000 0.0000  6 Sc 2.60-2.62
P: 0.5000 0.0000 0.0000  6 Sc 2.60-2.62

Calculated values
- formation energy (no corrections) (meV per atom) = -1260
- SG = No. 166

DFT (PBE-GGA) results for crystalline Sc8Te3As3P at its relaxed geometry.

Lattice parameters (Å, degrees): 8.0541 8.0541 8.0541 58.43 58.43 58.43
Closest atoms and distances in Å follow each position.
Fractional positions:
Sc: 0.2368 0.2368 0.2368  3 As 2.67, 3 Te 2.98
Sc: 0.2475 0.7321 0.7321  1 P 2.61, 2 As 2.70
Sc: 0.2679 0.2679 0.7525  1 P 2.61, 2 As 2.70
Sc: 0.2679 0.7525 0.2679  1 P 2.61, 2 As 2.70
Sc: 0.7321 0.2475 0.7321  1 P 2.61, 2 As 2.70
Sc: 0.7321 0.7321 0.2475  1 P 2.61, 2 As 2.70
Sc: 0.7525 0.2679 0.2679  1 P 2.61, 2 As 2.70
Sc: 0.7632 0.7632 0.7632  3 As 2.67, 3 Te 2.98
Te: 0.0000 0.5000 0.5000  6 Sc 2.95-2.98
Te: 0.5000 0.0000 0.5000  6 Sc 2.95-2.98
Te: 0.5000 0.5000 0.0000  6 Sc 2.95-2.98
As: 0.0000 0.0000 0.5000  6 Sc 2.67-2.70
As: 0.0000 0.5000 0.0000  6 Sc 2.67-2.70
As: 0.5000 0.0000 0.0000  6 Sc 2.67-2.70
P: 0.5000 0.5000 0.5000  6 Sc 2.61

Calculated values
- formation energy (no corrections) (meV per atom) = -1208
- SG = No. 166

DFT (PBE-GGA) results for crystalline Sc6TeAs3P2 at its relaxed geometry.

Lattice parameters (Å, degrees): 8.6584 8.6584 7.8070 102.62 102.62 25.88
Closest atoms and distances in Å follow each position.
Fractional positions:
Sc: 0.0053 0.0053 0.2730  3 As 2.64-2.76, 1 P 2.68, 2 Te 2.87
Sc: 0.3236 0.3236 0.9023  3 As 2.65-2.81, 2 P 2.71, 1 Te 2.90
Sc: 0.3298 0.3298 0.4211  3 P 2.66-2.71, 3 As 2.80
Sc: 0.6702 0.6702 0.5789  3 P 2.66-2.71, 3 As 2.80
Sc: 0.6764 0.6764 0.0977  3 As 2.65-2.81, 2 P 2.71, 1 Te 2.90
Sc: 0.9947 0.9947 0.7270  3 As 2.64-2.76, 1 P 2.68, 2 Te 2.87
Te: 0.5000 0.5000 0.0000  6 Sc 2.87-2.90
As: 0.1624 0.1624 0.8328  6 Sc 2.65-2.81
As: 0.5000 0.5000 0.5000  6 Sc 2.64-2.80
As: 0.8376 0.8376 0.1672  6 Sc 2.65-2.81
P: 0.1682 0.1682 0.3352  6 Sc 2.66-2.71
P: 0.8318 0.8318 0.6648  6 Sc 2.66-2.71

Calculated values
- formation energy (no corrections) (meV per atom) = -1385
- SG = No. 12

DFT (PBE-GGA) results for crystalline Sc8Te4AsP3 at its relaxed geometry.

Lattice parameters (Å, degrees): 8.0630 8.0630 8.0630 58.19 58.19 58.19
Closest atoms and distances in Å follow each position.
Fractional positions:
Sc: 0.2290 0.7395 0.7395  2 P 2.64, 1 As 2.70, 1 Te 2.95
Sc: 0.2351 0.2351 0.2351  3 P 2.65
Sc: 0.2605 0.2605 0.7710  2 P 2.64, 1 As 2.70, 1 Te 2.95
Sc: 0.2605 0.7710 0.2605  2 P 2.64, 1 As 2.70, 1 Te 2.95
Sc: 0.7395 0.2290 0.7395  2 P 2.64, 1 As 2.70, 1 Te 2.95
Sc: 0.7395 0.7395 0.2290  2 P 2.64, 1 As 2.70, 1 Te 2.95
Sc: 0.7649 0.7649 0.7649  3 P 2.65
Sc: 0.7710 0.2605 0.2605  2 P 2.64, 1 As 2.70, 1 Te 2.95
Te: 0.0000 0.0000 0.0000  6 Sc 2.95
Te: 0.0000 0.5000 0.5000  6 Sc 3.00
Te: 0.5000 0.0000 0.5000  6 Sc 3.00
Te: 0.5000 0.5000 0.0000  6 Sc 3.00
As: 0.5000 0.5000 0.5000  6 Sc 2.70
P: 0.0000 0.0000 0.5000  6 Sc 2.64-2.65
P: 0.0000 0.5000 0.0000  6 Sc 2.64-2.65
P: 0.5000 0.0000 0.0000  6 Sc 2.64-2.65

Calculated values
- formation energy (no corrections) (meV per atom) = -1372
- SG = No. 166

DFT (PBE-GGA) results for crystalline Sc8Te4As3P at its relaxed geometry.

Lattice parameters (Å, degrees): 8.1059 8.1059 8.1059 58.59 58.59 58.59
Closest atoms and distances in Å follow each position.
Fractional positions:
Sc: 0.2381 0.2381 0.2381  3 As 2.70, 3 Te 2.98
Sc: 0.2443 0.7331 0.7331  1 P 2.64, 2 As 2.71
Sc: 0.2669 0.2669 0.7557  1 P 2.64, 2 As 2.71
Sc: 0.2669 0.7557 0.2669  1 P 2.64, 2 As 2.71
Sc: 0.7331 0.2443 0.7331  1 P 2.64, 2 As 2.71
Sc: 0.7331 0.7331 0.2443  1 P 2.64, 2 As 2.71
Sc: 0.7557 0.2669 0.2669  1 P 2.64, 2 As 2.71
Sc: 0.7619 0.7619 0.7619  3 As 2.70, 3 Te 2.98
Te: 0.0000 0.0000 0.0000  6 Sc 3.04
Te: 0.0000 0.5000 0.5000  6 Sc 2.98
Te: 0.5000 0.0000 0.5000  6 Sc 2.98
Te: 0.5000 0.5000 0.0000  6 Sc 2.98
As: 0.0000 0.0000 0.5000  6 Sc 2.70-2.71
As: 0.0000 0.5000 0.0000  6 Sc 2.70-2.71
As: 0.5000 0.0000 0.0000  6 Sc 2.70-2.71
P: 0.5000 0.5000 0.5000  6 Sc 2.64

Calculated values
- formation energy (no corrections) (meV per atom) = -1333
- SG = No. 166

DFT (PBE-GGA) results for crystalline ScUAsP at its relaxed geometry.

Lattice parameters (Å, degrees): 3.8978 3.8978 19.3831 90.00 90.00 120.00
Closest atoms and distances in Å follow each position.
Fractional positions:
Sc: 0.0000 0.0000 0.0000  3 P 2.69, 3 As 2.76
Sc: 0.3333 0.6667 0.6667  3 P 2.69, 3 As 2.76
Sc: 0.6667 0.3333 0.3333  3 P 2.69, 3 As 2.76
U: 0.0000 0.0000 0.5065  3 P 2.78, 3 As 2.86
U: 0.3333 0.6667 0.1732  3 P 2.78, 3 As 2.86
U: 0.6667 0.3333 0.8399  3 P 2.78, 3 As 2.86
As: 0.0000 0.0000 0.7487  3 Sc 2.76, 3 U 2.86
As: 0.3333 0.6667 0.4154  3 Sc 2.76, 3 U 2.86
As: 0.6667 0.3333 0.0820  3 Sc 2.76, 3 U 2.86
P: 0.0000 0.0000 0.2573  3 Sc 2.69, 3 U 2.78
P: 0.3333 0.6667 0.9240  3 Sc 2.69, 3 U 2.78
P: 0.6667 0.3333 0.5907  3 Sc 2.69, 3 U 2.78

Calculated values
- E_form (eV/f.u.) = -4.59
- SG = No. 160

DFT (PBE-GGA) results for crystalline YScAs2P at its relaxed geometry.

Lattice parameters (Å, degrees): 4.8497 4.8497 6.0823 90.00 90.00 90.00
Closest atoms and distances in Å follow each position.
Fractional positions:
Y: 0.0000 0.0000 0.0000  2 Sc 3.04
Sc: 0.0000 0.0000 0.5000  4 As 2.42
As: 0.0000 0.5000 0.5000  2 Sc 2.42
As: 0.5000 0.0000 0.5000  2 Sc 2.42
P: 0.5000 0.5000 0.0000  4 Y 3.43

Calculated values
- E_form (eV/f.u.) = 2.09
- SG = No. 123

For the records above, the corresponding M_tot values read 0.31; 0.00; 0.00; 0.00; 0.00; 0.00; 0.00; 0.00; 0.00; 0.00; 0.00; 7.05; 0.00 μB/cell.